## Tc3IBr (PBE)

Data for crystalline Tc3IBr at its relaxed geometry.

Computed properties:
Uncorrected energy: -4.724 eV per atom
Size of the total moment: 1.135 μB/atom
Raw formation energy: 1033 kJ/mol of formula units

abc: 4.974 4.974 4.974
angles: 90.00 90.00 90.00
Space group Pm-3m (No. 221)
Unique sites:
Tc (0.000, 0.000, 0.500) [3 per cell]
I (0.000, 0.000, 0.000) [1 per cell]
Br (0.500, 0.500, 0.500) [1 per cell]